(1)
Computed, not measured: crystalline Ac2Dy2Ho5 at its relaxed geometry at the PBE level of DFT.

Properties
symmetry	No. 12
E_form	0.211	eV per atom

a b c (Å): 3.597 12.813 8.276
angles (deg): 59.06 90.00 98.07
Atoms (fractional coordinates):
Ac 0.180 0.359 0.775
Ac 0.820 0.641 0.225
Dy 0.453 0.906 0.742
Dy 0.547 0.094 0.258
Ho 0.310 0.619 0.847
Ho 0.690 0.381 0.153
Ho 0.091 0.182 0.536
Ho 0.909 0.818 0.464
Ho 0.000 0.000 0.000

(2)
Computed, not measured: crystalline CeEuGaRh at its relaxed geometry at the PBE level of DFT.

Properties
symmetry	No. 216
E_form	-0.437	eV per atom

a b c (Å): 5.072 5.072 5.072
angles (deg): 60.00 60.00 60.00
Atoms (fractional coordinates):
Eu 0.750 0.750 0.750
Rh 0.500 0.500 0.500
Ga 0.000 0.000 0.000
Ce 0.250 0.250 0.250

(3)
Computed, not measured: crystalline Cr2AsIr at its relaxed geometry at the PBE level of DFT.

Properties
symmetry	No. 44
E_form	0.072	eV per atom

a b c (Å): 5.075 5.075 5.075
angles (deg): 146.06 129.69 62.08
Atoms (fractional coordinates):
As 0.248 0.748 0.500
Cr 0.014 0.014 0.000
Cr 0.756 0.256 0.500
Ir 0.482 0.482 0.000

(4)
Computed, not measured: crystalline TiCd3In at its relaxed geometry at the PBE level of DFT.

Properties
symmetry	No. 221
E_form	0.967	eV per atom
energy relative to the lowest polymorph listed for this composition	0.301	eV/atom

a b c (Å): 5.285 5.285 5.285
angles (deg): 90.00 90.00 90.00
Atoms (fractional coordinates):
Cd 0.000 0.500 0.000
Cd 0.000 0.000 0.500
Cd 0.500 0.000 0.000
Ti 0.500 0.500 0.500
In 0.000 0.000 0.000

(5)
Computed, not measured: crystalline CdNi2Te at its relaxed geometry at the PBE level of DFT.

Properties
symmetry	No. 119
raw formation energy	0.195	eV/atom
energy relative to the lowest polymorph listed for this composition	0.146	eV/atom

a b c (Å): 5.293 5.293 5.293
angles (deg): 137.66 137.66 61.43
Atoms (fractional coordinates):
Cd 0.750 0.250 0.500
Ni 0.000 0.000 0.000
Ni 0.250 0.750 0.500
Te 0.500 0.500 0.000

(6)
Computed, not measured: crystalline AcLa4Ir at its relaxed geometry at the PBE level of DFT.

Properties
symmetry	No. 15
E_form	-0.278	eV per atom

a b c (Å): 6.911 7.597 9.485
angles (deg): 105.47 111.38 89.99
Atoms (fractional coordinates):
Ac 0.935 0.750 0.000
Ac 0.065 0.250 0.000
La 0.492 0.010 0.804
La 0.689 0.490 0.196
La 0.508 0.990 0.196
La 0.311 0.510 0.804
La 0.895 0.862 0.613
La 0.282 0.638 0.387
La 0.105 0.138 0.387
La 0.718 0.362 0.613
Ir 0.500 0.000 0.500
Ir 0.000 0.500 0.500

(7)
Computed, not measured: crystalline LaHf2Zr at its relaxed geometry at the PBE level of DFT.

Properties
symmetry	No. 123
E_form	0.172	eV per atom
energy relative to the lowest polymorph listed for this composition	0.001	eV/atom

a b c (Å): 3.799 3.799 7.164
angles (deg): 90.00 90.00 90.00
Atoms (fractional coordinates):
Hf 0.000 0.000 0.796
Hf 0.000 0.000 0.204
Zr 0.500 0.500 0.000
La 0.500 0.500 0.500

(8)
Computed, not measured: crystalline Tl3AsBr8 at its relaxed geometry at the PBE level of DFT.

Properties
symmetry	No. 139
raw formation energy	-0.332	eV/atom

a b c (Å): 7.387 7.387 8.970
angles (deg): 114.32 114.32 90.00
Atoms (fractional coordinates):
Tl 0.750 0.250 0.500
Tl 0.500 0.500 0.000
Tl 0.250 0.750 0.500
As 0.000 0.000 0.000
Br 0.346 0.346 0.233
Br 0.346 0.887 0.233
Br 0.113 0.654 0.767
Br 0.113 0.113 0.767
Br 0.887 0.887 0.233
Br 0.887 0.346 0.233
Br 0.654 0.113 0.767
Br 0.654 0.654 0.767

no.,raw total energy (eV per atom)
1,-4.2676
2,-7.0839
3,-8.1175
4,-1.7092
5,-3.7103
6,-5.7241
7,-8.1735
8,-2.4261